# 1
Ce2Si6Ir9 PBE relaxed; total energy = -135.948 eV per cell; M_tot = 0.90 μB/f.u.; calculated volume = 298.2 Å³/cell; energy relative to the elements, uncorrected = -66.9 kJ per mole of atoms
1.0
5.6206 0.0000 0.0000
-2.8103 4.8676 0.0000
0.0000 0.0000 10.8999
Ce Si Ir
2 6 9
Direct
0.0000 0.0000 0.1935
0.0000 0.0000 0.8065
0.3333 0.6667 0.1655
0.3333 0.6667 0.5000
0.3333 0.6667 0.8345
0.6667 0.3333 0.1655
0.6667 0.3333 0.5000
0.6667 0.3333 0.8345
0.0000 0.5000 0.0000
0.0000 0.5000 0.3325
0.0000 0.5000 0.6675
0.5000 0.0000 0.0000
0.5000 0.0000 0.3325
0.5000 0.0000 0.6675
0.5000 0.5000 0.0000
0.5000 0.5000 0.3325
0.5000 0.5000 0.6675

# 2
Ce8Si2Ir3 PBE relaxed; total energy = -89.902 eV per cell; M_tot = 7.80 μB/f.u.; calculated volume = 371.8 Å³/cell; energy relative to the elements, uncorrected = -37.1 kJ per mole of atoms
1.0
7.6607 -3.8158 0.0000
7.6607 3.8158 0.0000
-2.3708 0.0000 6.3590
Ce Si Ir
8 2 3
Direct
0.1037 0.1037 0.2368
0.1489 0.6311 0.2357
0.3408 0.3408 0.7212
0.3689 0.8511 0.7643
0.6311 0.1489 0.2357
0.6592 0.6592 0.2788
0.8511 0.3689 0.7643
0.8963 0.8963 0.7632
0.2398 0.2398 0.0307
0.7602 0.7602 0.9693
0.0000 0.0000 0.5000
0.3034 0.6966 0.0000
0.6966 0.3034 0.0000

# 3
Ce2SmSi3Ir4 PBE relaxed; total energy = -77.185 eV per cell; M_tot = 1.28 μB/f.u.; calculated volume = 190.9 Å³/cell; energy relative to the elements, uncorrected = -85.7 kJ per mole of atoms
1.0
4.1254 0.0000 0.0000
0.0000 4.1254 0.0000
0.0000 0.0000 11.2181
Ce Sm Si Ir
2 1 3 4
Direct
0.0000 0.5000 0.2299
0.5000 0.0000 0.7701
0.0000 0.0000 0.5000
0.0000 0.5000 0.8848
0.5000 0.0000 0.1152
0.5000 0.5000 0.5000
0.0000 0.0000 0.0000
0.0000 0.5000 0.6726
0.5000 0.0000 0.3274
0.5000 0.5000 0.0000

# 4
Ce2Sm2Si4Ir PBE relaxed; total energy = -55.669 eV per cell; M_tot = 1.15 μB/f.u.; calculated volume = 205.9 Å³/cell; energy relative to the elements, uncorrected = -40.8 kJ per mole of atoms
1.0
-3.5532 3.5532 4.0764
3.5532 -3.5532 4.0764
3.5532 3.5532 -4.0764
Ce Sm Si Ir
2 2 4 1
Direct
0.1678 0.1678 0.0000
0.8322 0.8322 0.0000
0.2500 0.7500 0.5000
0.7500 0.2500 0.5000
0.2596 0.2596 0.5192
0.2596 0.7404 0.0000
0.7404 0.2596 0.0000
0.7404 0.7404 0.4808
0.5000 0.5000 0.0000